No. 1
CuAg | PBE | relaxed Values from VASP.

```
&SYSTEM
  ibrav = 0, nat = 10, ntyp = 2
/
ATOMIC_SPECIES
Cu 63.55 Cu.upf
Ag 107.87 Ag.upf
CELL_PARAMETERS angstrom
11.087 -1.415 0.000
11.087 1.415 0.000
-0.407 0.000 4.791
ATOMIC_POSITIONS crystal
Cu 0.000 0.000 0.000
Cu 0.207 0.207 0.401
Cu 0.301 0.301 0.113
Cu 0.500 0.500 0.497
Cu 0.799 0.799 0.583
Ag 0.098 0.098 0.696
Ag 0.399 0.399 0.798
Ag 0.601 0.601 0.202
Ag 0.706 0.706 0.900
Ag 0.901 0.901 0.299
```

Calculated values
Total energy ... -3.158 eV/atom
Energy of formation ... 0.11 eV per atom
Symmetry ... Cm

=====

No. 2
CuAg2 | PBE | relaxed Values from VASP.

```
&SYSTEM
  ibrav = 0, nat = 6, ntyp = 2
/
ATOMIC_SPECIES
Cu 63.55 Cu.upf
Ag 107.87 Ag.upf
CELL_PARAMETERS angstrom
2.851 0.000 0.000
0.000 3.924 0.000
0.000 0.000 8.551
ATOMIC_POSITIONS crystal
Cu 0.000 0.000 0.159
Cu 0.000 0.000 0.841
Ag 0.000 0.000 0.500
Ag 0.500 0.500 0.000
Ag 0.500 0.500 0.322
Ag 0.500 0.500 0.678
```

Calculated values
Polymorph energy (0 for the lowest one) ... 15 kJ/mol of formula units
Total energy ... -3.039 eV/atom
Energy of formation ... 0.08 eV per atom
Symmetry ... Pmmm

=====

No. 3
Cu3Ag5 | PBE | relaxed Values from VASP.

```
&SYSTEM
  ibrav = 0, nat = 16, ntyp = 2
/
ATOMIC_SPECIES
Cu 63.55 Cu.upf
Ag 107.87 Ag.upf
CELL_PARAMETERS angstrom
2.849 0.000 0.000
0.000 7.623 0.000
0.000 0.000 11.560
ATOMIC_POSITIONS crystal
Cu 0.000 0.000 0.000
Cu 0.000 0.500 0.500
Cu 0.500 0.238 0.893
Cu 0.500 0.262 0.393
Cu 0.500 0.738 0.393
Cu 0.500 0.762 0.893
Ag 0.000 0.000 0.274
Ag 0.000 0.000 0.509
Ag 0.000 0.000 0.767
Ag 0.000 0.500 0.009
Ag 0.000 0.500 0.267
Ag 0.000 0.500 0.774
Ag 0.500 0.234 0.132
Ag 0.500 0.266 0.632
Ag 0.500 0.734 0.632
Ag 0.500 0.766 0.132
```

Calculated values
Polymorph energy (0 for the lowest one) ... 37 kJ/mol of formula units
Total energy ... -3.075 eV/atom
Energy of formation ... 0.08 eV per atom
Symmetry ... Amm2

=====

No. 4
Cu5Ag3 | PBE | relaxed Values from VASP.

```
&SYSTEM
  ibrav = 0, nat = 16, ntyp = 2
/
ATOMIC_SPECIES
Cu 63.55 Cu.upf
Ag 107.87 Ag.upf
CELL_PARAMETERS angstrom
17.892 0.000 0.000
0.000 2.743 0.000
-0.130 0.000 4.612
ATOMIC_POSITIONS crystal
Cu 0.000 0.000 0.000
Cu 0.006 0.500 0.522
Cu 0.122 0.000 0.667
Cu 0.238 0.500 0.804
Cu 0.395 0.500 0.352
Cu 0.500 0.500 0.000
Cu 0.506 0.000 0.522
Cu 0.622 0.500 0.667
Cu 0.738 0.000 0.804
Cu 0.895 0.000 0.352
Ag 0.123 0.500 0.168
Ag 0.263 0.000 0.316
Ag 0.371 0.000 0.845
Ag 0.623 0.000 0.168
Ag 0.763 0.500 0.316
Ag 0.871 0.500 0.845
```

Calculated values
Polymorph energy (0 for the lowest one) ... 33 kJ/mol of formula units
Total energy ... -3.293 eV/atom
Energy of formation ... 0.09 eV per atom
Symmetry ... Cm

=====

No. 5
CuAg2 | PBE | relaxed Values from VASP.

```
&SYSTEM
  ibrav = 0, nat = 6, ntyp = 2
/
ATOMIC_SPECIES
Cu 63.55 Cu.upf
Ag 107.87 Ag.upf
CELL_PARAMETERS angstrom
2.849 0.000 0.000
-1.424 2.467 0.000
0.000 0.000 13.668
ATOMIC_POSITIONS crystal
Cu 0.333 0.667 0.339
Cu 0.667 0.333 0.661
Ag 0.000 0.000 0.000
Ag 0.000 0.000 0.500
Ag 0.333 0.667 0.820
Ag 0.667 0.333 0.180
```

Calculated values
Polymorph energy (0 for the lowest one) ... 17 kJ/mol of formula units
Total energy ... -3.034 eV/atom
Energy of formation ... 0.09 eV per atom
Symmetry ... P-3m1

=====

No. 6
Cu3Ag2 | PBE | relaxed Values from VASP.

```
&SYSTEM
  ibrav = 0, nat = 10, ntyp = 2
/
ATOMIC_SPECIES
Cu 63.55 Cu.upf
Ag 107.87 Ag.upf
CELL_PARAMETERS angstrom
2.344 -6.821 0.000
2.344 6.821 0.000
-1.511 0.000 4.461
ATOMIC_POSITIONS crystal
Cu 0.049 0.951 0.750
Cu 0.146 0.854 0.250
Cu 0.350 0.650 0.250
Cu 0.650 0.350 0.750
Cu 0.854 0.146 0.750
Cu 0.951 0.049 0.250
Ag 0.244 0.756 0.750
Ag 0.449 0.551 0.750
Ag 0.551 0.449 0.250
Ag 0.756 0.244 0.250
```

Calculated values
Polymorph energy (0 for the lowest one) ... 29 kJ/mol of formula units
Total energy ... -3.257 eV/atom
Energy of formation ... 0.10 eV per atom
Symmetry ... C2/c

=====

No. 7
Cu4Ag3 | PBE | relaxed Values from VASP.

```
&SYSTEM
  ibrav = 0, nat = 14, ntyp = 2
/
ATOMIC_SPECIES
Cu 63.55 Cu.upf
Ag 107.87 Ag.upf
CELL_PARAMETERS angstrom
2.795 0.000 0.000
0.000 2.795 0.000
0.000 0.000 25.818
ATOMIC_POSITIONS crystal
Cu 0.000 0.000 0.000
Cu 0.000 0.000 0.121
Cu 0.000 0.000 0.561
Cu 0.000 0.000 0.853
Cu 0.500 0.500 0.061
Cu 0.500 0.500 0.353
Cu 0.500 0.500 0.500
Cu 0.500 0.500 0.621
Ag 0.000 0.000 0.280
Ag 0.000 0.000 0.426
Ag 0.000 0.000 0.695
Ag 0.500 0.500 0.195
Ag 0.500 0.500 0.780
Ag 0.500 0.500 0.926
```

Calculated values
Polymorph energy (0 for the lowest one) ... 15 kJ/mol of formula units
Total energy ... -3.264 eV/atom
Energy of formation ... 0.07 eV per atom
Symmetry ... I4mm

=====

No. 8
Cu3Ag5 | PBE | relaxed Values from VASP.

```
&SYSTEM
  ibrav = 0, nat = 16, ntyp = 2
/
ATOMIC_SPECIES
Cu 63.55 Cu.upf
Ag 107.87 Ag.upf
CELL_PARAMETERS angstrom
7.655 0.000 0.000
0.000 11.503 0.000
0.000 0.000 2.863
ATOMIC_POSITIONS crystal
Cu 0.000 0.000 0.000
Cu 0.000 0.258 0.000
Cu 0.000 0.742 0.000
Cu 0.500 0.242 0.000
Cu 0.500 0.500 0.000
Cu 0.500 0.758 0.000
Ag 0.000 0.500 0.000
Ag 0.233 0.128 0.500
Ag 0.233 0.872 0.500
Ag 0.267 0.372 0.500
Ag 0.267 0.628 0.500
Ag 0.500 0.000 0.000
Ag 0.733 0.372 0.500
Ag 0.733 0.628 0.500
Ag 0.767 0.128 0.500
Ag 0.767 0.872 0.500
```

Calculated values
Polymorph energy (0 for the lowest one) ... 36 kJ/mol of formula units
Total energy ... -3.075 eV/atom
Energy of formation ... 0.08 eV per atom
Symmetry ... Cmmm

=====

No. 9
Cu3Ag5 | PBE | relaxed Values from VASP.

```
&SYSTEM
  ibrav = 0, nat = 16, ntyp = 2
/
ATOMIC_SPECIES
Cu 63.55 Cu.upf
Ag 107.87 Ag.upf
CELL_PARAMETERS angstrom
9.443 0.000 0.000
0.000 2.853 0.000
-2.243 0.000 9.311
ATOMIC_POSITIONS crystal
Cu 0.000 0.000 0.000
Cu 0.003 0.500 0.778
Cu 0.214 0.500 0.132
Cu 0.500 0.500 0.000
Cu 0.503 0.000 0.778
Cu 0.714 0.000 0.132
Ag 0.229 0.000 0.377
Ag 0.252 0.000 0.907
Ag 0.254 0.500 0.651
Ag 0.464 0.000 0.234
Ag 0.492 0.500 0.519
Ag 0.729 0.500 0.377
Ag 0.752 0.500 0.907
Ag 0.754 0.000 0.651
Ag 0.964 0.500 0.234
Ag 0.992 0.000 0.519
```

Calculated values
Polymorph energy (0 for the lowest one) ... 25 kJ/mol of formula units
Total energy ... -3.089 eV/atom
Energy of formation ... 0.07 eV per atom
Symmetry ... Cm

=====

No. 10
Cu3Ag2 | PBE | relaxed Values from VASP.

```
&SYSTEM
  ibrav = 0, nat = 10, ntyp = 2
/
ATOMIC_SPECIES
Cu 63.55 Cu.upf
Ag 107.87 Ag.upf
CELL_PARAMETERS angstrom
4.524 -1.383 0.000
4.524 1.383 0.000
-2.071 0.000 11.436
ATOMIC_POSITIONS crystal
Cu 0.043 0.043 0.365
Cu 0.159 0.159 0.050
Cu 0.352 0.352 0.461
Cu 0.648 0.648 0.539
Cu 0.841 0.841 0.950
Cu 0.957 0.957 0.635
Ag 0.252 0.252 0.736
Ag 0.454 0.454 0.147
Ag 0.546 0.546 0.853
Ag 0.748 0.748 0.264
```

Calculated values
Polymorph energy (0 for the lowest one) ... 22 kJ/mol of formula units
Total energy ... -3.272 eV/atom
Energy of formation ... 0.09 eV per atom
Symmetry ... C2/m

=====

No. 11
CuAg | PBE | relaxed Values from VASP.

```
&SYSTEM
  ibrav = 0, nat = 8, ntyp = 2
/
ATOMIC_SPECIES
Cu 63.55 Cu.upf
Ag 107.87 Ag.upf
CELL_PARAMETERS angstrom
1.394 0.805 17.798
-1.394 0.805 17.798
0.000 -1.610 17.798
ATOMIC_POSITIONS crystal
Cu 0.000 0.000 0.000
Cu 0.121 0.121 0.121
Cu 0.491 0.491 0.491
Cu 0.751 0.751 0.751
Ag 0.246 0.246 0.246
Ag 0.375 0.375 0.375
Ag 0.625 0.625 0.625
Ag 0.866 0.866 0.866
```

Calculated values
Total energy ... -3.171 eV/atom
Energy of formation ... 0.10 eV per atom
Symmetry ... R3m

=====

No. 12
Cu7Ag2 | PBE | relaxed Values from VASP.

```
&SYSTEM
  ibrav = 0, nat = 9, ntyp = 2
/
ATOMIC_SPECIES
Cu 63.55 Cu.upf
Ag 107.87 Ag.upf
CELL_PARAMETERS angstrom
-1.355 1.768 12.374
1.355 -1.768 12.374
1.355 1.768 -12.374
ATOMIC_POSITIONS crystal
Cu 0.000 0.000 0.000
Cu 0.123 0.123 0.000
Cu 0.225 0.225 0.000
Cu 0.327 0.327 0.000
Cu 0.673 0.673 0.000
Cu 0.775 0.775 0.000
Cu 0.877 0.877 0.000
Ag 0.439 0.439 0.000
Ag 0.561 0.561 0.000
```

Calculated values
Polymorph energy (0 for the lowest one) ... 16 kJ/mol of formula units
Total energy ... -3.454 eV/atom
Energy of formation ... 0.06 eV per atom
Symmetry ... Immm

=====

No. 13
Cu3Ag5 | PBE | relaxed Values from VASP.

```
&SYSTEM
  ibrav = 0, nat = 16, ntyp = 2
/
ATOMIC_SPECIES
Cu 63.55 Cu.upf
Ag 107.87 Ag.upf
CELL_PARAMETERS angstrom
2.888 0.000 0.000
0.000 14.743 0.000
0.000 0.000 5.896
ATOMIC_POSITIONS crystal
Cu 0.000 0.000 0.000
Cu 0.000 0.500 0.500
Cu 0.500 0.124 0.795
Cu 0.500 0.376 0.295
Cu 0.500 0.624 0.295
Cu 0.500 0.876 0.795
Ag 0.000 0.000 0.558
Ag 0.000 0.244 0.529
Ag 0.000 0.256 0.029
Ag 0.000 0.500 0.058
Ag 0.000 0.744 0.029
Ag 0.000 0.756 0.529
Ag 0.500 0.114 0.259
Ag 0.500 0.386 0.759
Ag 0.500 0.614 0.759
Ag 0.500 0.886 0.259
```

Calculated values
Polymorph energy (0 for the lowest one) ... 34 kJ/mol of formula units
Total energy ... -3.078 eV/atom
Energy of formation ... 0.08 eV per atom
Symmetry ... Amm2

=====

No. 14
CuAg | PBE | relaxed Values from VASP.

```
&SYSTEM
  ibrav = 0, nat = 10, ntyp = 2
/
ATOMIC_SPECIES
Cu 63.55 Cu.upf
Ag 107.87 Ag.upf
CELL_PARAMETERS angstrom
6.857 0.000 0.000
0.000 2.846 0.000
-1.232 0.000 7.649
ATOMIC_POSITIONS crystal
Cu 0.000 0.000 0.000
Cu 0.096 0.500 0.266
Cu 0.579 0.500 0.497
Cu 0.731 0.500 0.107
Cu 0.836 0.000 0.376
Ag 0.256 0.000 0.553
Ag 0.305 0.500 0.901
Ag 0.427 0.000 0.217
Ag 0.630 0.000 0.805
Ag 0.941 0.500 0.681
```

Calculated values
Total energy ... -3.193 eV/atom
Energy of formation ... 0.08 eV per atom
Symmetry ... Pm

=====

No. 15
Cu5Ag3 | PBE | relaxed Values from VASP.

```
&SYSTEM
  ibrav = 0, nat = 16, ntyp = 2
/
ATOMIC_SPECIES
Cu 63.55 Cu.upf
Ag 107.87 Ag.upf
CELL_PARAMETERS angstrom
8.973 0.000 0.000
0.000 2.751 0.000
-1.890 0.000 9.149
ATOMIC_POSITIONS crystal
Cu 0.000 0.000 0.000
Cu 0.010 0.500 0.247
Cu 0.226 0.500 0.591
Cu 0.247 0.000 0.374
Cu 0.488 0.500 0.468
Cu 0.500 0.500 0.000
Cu 0.510 0.000 0.247
Cu 0.726 0.000 0.591
Cu 0.747 0.500 0.374
Cu 0.988 0.000 0.468
Ag 0.245 0.000 0.860
Ag 0.255 0.500 0.130
Ag 0.481 0.000 0.717
Ag 0.745 0.500 0.860
Ag 0.755 0.000 0.130
Ag 0.981 0.500 0.717
```

Calculated values
Polymorph energy (0 for the lowest one) ... 31 kJ/mol of formula units
Total energy ... -3.295 eV/atom
Energy of formation ... 0.09 eV per atom
Symmetry ... Cm

=====

No. 16
Cu5Ag3 | PBE | relaxed Values from VASP.

```
&SYSTEM
  ibrav = 0, nat = 16, ntyp = 2
/
ATOMIC_SPECIES
Cu 63.55 Cu.upf
Ag 107.87 Ag.upf
CELL_PARAMETERS angstrom
8.635 0.000 0.000
0.000 3.808 0.000
-3.410 0.000 6.891
ATOMIC_POSITIONS crystal
Cu 0.000 0.000 0.000
Cu 0.001 0.500 0.228
Cu 0.236 0.500 0.111
Cu 0.241 0.000 0.340
Cu 0.498 0.000 0.749
Cu 0.500 0.500 0.000
Cu 0.501 0.000 0.228
Cu 0.736 0.000 0.111
Cu 0.741 0.500 0.340
Cu 0.998 0.500 0.749
Ag 0.247 0.000 0.876
Ag 0.252 0.500 0.611
Ag 0.490 0.500 0.468
Ag 0.747 0.500 0.876
Ag 0.752 0.000 0.611
Ag 0.990 0.000 0.468
```

Calculated values
Polymorph energy (0 for the lowest one) ... 33 kJ/mol of formula units
Total energy ... -3.292 eV/atom
Energy of formation ... 0.09 eV per atom
Symmetry ... Cm

=====

No. 17
CuAg | PBE | relaxed Values from VASP.

```
&SYSTEM
  ibrav = 0, nat = 10, ntyp = 2
/
ATOMIC_SPECIES
Cu 63.55 Cu.upf
Ag 107.87 Ag.upf
CELL_PARAMETERS angstrom
3.970 0.000 0.000
0.000 1.985 9.454
0.000 -1.985 9.454
ATOMIC_POSITIONS crystal
Cu 0.000 0.000 0.000
Cu 0.000 0.171 0.171
Cu 0.000 0.590 0.590
Cu 0.500 0.090 0.090
Cu 0.500 0.671 0.671
Ag 0.000 0.388 0.388
Ag 0.000 0.771 0.771
Ag 0.500 0.272 0.272
Ag 0.500 0.497 0.497
Ag 0.500 0.888 0.888
```

Calculated values
Total energy ... -3.205 eV/atom
Energy of formation ... 0.07 eV per atom
Symmetry ... Amm2

=====

No. 18
Cu4Ag5 | PBE | relaxed Values from VASP.

```
&SYSTEM
  ibrav = 0, nat = 9, ntyp = 2
/
ATOMIC_SPECIES
Cu 63.55 Cu.upf
Ag 107.87 Ag.upf
CELL_PARAMETERS angstrom
-1.422 1.422 16.951
1.422 -1.422 16.951
1.422 1.422 -16.951
ATOMIC_POSITIONS crystal
Cu 0.118 0.118 0.000
Cu 0.338 0.338 0.000
Cu 0.662 0.662 0.000
Cu 0.882 0.882 0.000
Ag 0.000 0.000 0.000
Ag 0.218 0.218 0.000
Ag 0.436 0.436 0.000
Ag 0.564 0.564 0.000
Ag 0.782 0.782 0.000
```

Calculated values
Polymorph energy (0 for the lowest one) ... 15 kJ/mol of formula units
Total energy ... -3.166 eV/atom
Energy of formation ... 0.06 eV per atom
Symmetry ... I4/mmm

=====

No. 19
CuAg | PBE | relaxed Values from VASP.

```
&SYSTEM
  ibrav = 0, nat = 10, ntyp = 2
/
ATOMIC_SPECIES
Cu 63.55 Cu.upf
Ag 107.87 Ag.upf
CELL_PARAMETERS angstrom
4.705 0.000 0.000
0.000 2.788 0.000
-0.972 0.000 11.278
ATOMIC_POSITIONS crystal
Cu 0.000 0.000 0.000
Cu 0.119 0.500 0.807
Cu 0.228 0.000 0.622
Cu 0.772 0.000 0.378
Cu 0.881 0.500 0.193
Ag 0.258 0.500 0.417
Ag 0.371 0.000 0.204
Ag 0.500 0.500 0.000
Ag 0.629 0.000 0.796
Ag 0.742 0.500 0.583
```

Calculated values
Total energy ... -3.170 eV/atom
Energy of formation ... 0.10 eV per atom
Symmetry ... P2/m

=====

No. 20
CuAg | PBE | relaxed Values from VASP.

```
&SYSTEM
  ibrav = 0, nat = 72, ntyp = 2
/
ATOMIC_SPECIES
Cu 63.55 Cu.upf
Ag 107.87 Ag.upf
CELL_PARAMETERS angstrom
4.534 0.000 0.000
0.011 8.992 0.000
2.171 1.606 26.418
ATOMIC_POSITIONS crystal
Cu 0.000 0.000 0.000
Cu 0.000 0.128 0.249
Cu 0.000 0.403 0.248
Cu 0.001 0.177 0.749
Cu 0.016 0.280 0.000
Cu 0.088 0.025 0.833
Cu 0.090 0.299 0.832
Cu 0.167 0.235 0.416
Cu 0.171 0.054 0.666
Cu 0.171 0.329 0.666
Cu 0.178 0.148 0.916
Cu 0.255 0.083 0.499
Cu 0.255 0.358 0.499
Cu 0.328 0.288 0.084
Cu 0.338 0.387 0.333
Cu 0.339 0.112 0.333
Cu 0.343 0.206 0.582
Cu 0.417 0.140 0.167
Cu 0.417 0.416 0.166
Cu 0.508 0.264 0.249
Cu 0.509 0.039 0.749
Cu 0.509 0.314 0.749
Cu 0.511 0.139 0.997
Cu 0.589 0.162 0.832
Cu 0.671 0.011 0.915
Cu 0.671 0.192 0.665
Cu 0.674 0.286 0.914
Cu 0.675 0.372 0.416
Cu 0.676 0.097 0.416
Cu 0.755 0.220 0.499
Cu 0.833 0.147 0.082
Cu 0.834 0.344 0.582
Cu 0.835 0.069 0.582
Cu 0.839 0.250 0.332
Cu 0.846 0.427 0.082
Cu 0.917 0.278 0.165
Ag 0.012 0.626 0.000
Ag 0.035 0.873 0.749
Ag 0.038 0.482 0.749
Ag 0.091 0.664 0.832
Ag 0.142 0.843 0.917
Ag 0.148 0.453 0.915
Ag 0.171 0.692 0.666
Ag 0.202 0.539 0.416
Ag 0.203 0.930 0.416
Ag 0.255 0.720 0.499
Ag 0.307 0.511 0.582
Ag 0.307 0.901 0.582
Ag 0.338 0.748 0.333
Ag 0.349 0.988 0.083
Ag 0.370 0.602 0.083
Ag 0.417 0.780 0.167
Ag 0.471 0.959 0.250
Ag 0.474 0.568 0.249
Ag 0.510 0.826 0.998
Ag 0.522 0.438 0.997
Ag 0.544 0.678 0.749
Ag 0.588 0.860 0.832
Ag 0.590 0.466 0.831
Ag 0.640 0.648 0.914
Ag 0.671 0.495 0.666
Ag 0.672 0.889 0.665
Ag 0.710 0.735 0.416
Ag 0.755 0.523 0.499
Ag 0.755 0.918 0.499
Ag 0.800 0.706 0.582
Ag 0.838 0.551 0.333
Ag 0.840 0.946 0.333
Ag 0.866 0.800 0.082
Ag 0.916 0.975 0.167
Ag 0.917 0.583 0.164
Ag 0.964 0.762 0.249
```

Calculated values
Total energy ... -3.197 eV/atom
Energy of formation ... 0.07 eV per atom
Symmetry ... P1